Entry 1:
This record from Alexandria via LeMat-Bulk describes a relaxed structure of MnRe2RhPb. The functional is GGA-PBEsol.

Values from the calculation:
The calculation puts the calculated volume at 17.74 Å³/atom. The uncorrected energy is -8.292 eV per atom. Its formation energy is 1.42 eV per atom. The total magnetization is 0.000 μB per formula unit.

Cell and atoms, written as CIF:
```
data_MnRe2RhPb
_cell_length_a 4.416
_cell_length_b 4.416
_cell_length_c 4.546
_cell_angle_alpha 90.00
_cell_angle_beta 90.00
_cell_angle_gamma 90.00
_symmetry_space_group_name_H-M 'P 4/m m m'
_symmetry_Int_Tables_number 123
_symmetry_space_group_name_Hall '-P 4 2'
loop_
_atom_site_label
_atom_site_fract_x
_atom_site_fract_y
_atom_site_fract_z
Mn1 0.000 0.000 0.000
Re1 0.000 0.500 0.000
Rh1 0.000 0.000 0.500
Pb1 0.500 0.500 0.500
```

***

Entry 2:
This record from Alexandria via LeMat-Bulk describes a relaxed structure of Mn2TcRhPb. The functional is GGA-PBEsol.

Values from the calculation:
The calculation puts the calculated volume at 23.24 Å³/atom. The uncorrected energy is -6.260 eV per atom. Its formation energy is 2.32 eV per atom. The total magnetization is 11.048 μB per formula unit.

Cell and atoms, written as CIF:
```
data_Mn2TcRhPb
_cell_length_a 4.820
_cell_length_b 4.820
_cell_length_c 5.002
_cell_angle_alpha 90.00
_cell_angle_beta 90.00
_cell_angle_gamma 90.00
_symmetry_space_group_name_H-M 'P 4/m m m'
_symmetry_Int_Tables_number 123
_symmetry_space_group_name_Hall '-P 4 2'
loop_
_atom_site_label
_atom_site_fract_x
_atom_site_fract_y
_atom_site_fract_z
Mn1 0.000 0.500 0.000
Tc1 0.000 0.000 0.500
Rh1 0.500 0.500 0.500
Pb1 0.000 0.000 0.000
```

***

Entry 3:
This record from Alexandria via LeMat-Bulk describes a relaxed structure of MnZn2RhPb. The functional is GGA-PBEsol.

Values from the calculation:
The calculation puts the calculated volume at 24.29 Å³/atom. The uncorrected energy is -3.648 eV per atom. Its formation energy is 1.36 eV per atom. The total magnetization is 4.917 μB per formula unit.

Cell and atoms, written as CIF:
```
data_MnZn2RhPb
_cell_length_a 4.914
_cell_length_b 4.914
_cell_length_c 5.030
_cell_angle_alpha 90.00
_cell_angle_beta 90.00
_cell_angle_gamma 90.00
_symmetry_space_group_name_H-M 'P 4/m m m'
_symmetry_Int_Tables_number 123
_symmetry_space_group_name_Hall '-P 4 2'
loop_
_atom_site_label
_atom_site_fract_x
_atom_site_fract_y
_atom_site_fract_z
Mn1 0.000 0.000 0.000
Zn1 0.000 0.500 0.500
Rh1 0.500 0.500 0.000
Pb1 0.500 0.500 0.500
```